i:
Entry from the Alexandria database: a relaxed Na2Li3 crystal (PBE).

## Properties
Its crystal system is trigonal. For the density of states at the Fermi level, the calculation gives 4.32 states/eV per cell. Its space group is R-3c, No. 167. As for the size of the total moment: 0.00 μB per formula unit. The calculation puts the theoretical density at 0.80 g/cm³.

Cell: 6.527 6.527 6.527 Å, 87.30 87.30 87.30°
Atoms (fractional coordinates):
Na (0.124, 0.124, 0.124)
Na (0.376, 0.376, 0.376)
Na (0.624, 0.624, 0.624)
Na (0.876, 0.876, 0.876)
Li (0.075, 0.750, 0.425)
Li (0.250, 0.575, 0.925)
Li (0.425, 0.075, 0.750)
Li (0.575, 0.925, 0.250)
Li (0.750, 0.425, 0.075)
Li (0.925, 0.250, 0.575)

ii:
Entry from the Alexandria database: a relaxed Na2Li3 crystal (PBE).

## Properties
Its crystal system is trigonal. For the density of states at the Fermi level, the calculation gives 6.98 states/eV per cell. Its space group is R-3m, No. 166. As for the size of the total moment: 0.00 μB per formula unit. The calculation puts the theoretical density at 0.83 g/cm³.

Cell: 3.378 3.378 40.555 Å, 90.00 90.00 120.00°
Atoms (fractional coordinates):
Na (0.000, 0.000, 0.206)
Na (0.000, 0.000, 0.794)
Na (0.333, 0.667, 0.460)
Na (0.333, 0.667, 0.873)
Na (0.667, 0.333, 0.127)
Na (0.667, 0.333, 0.540)
Li (0.000, 0.000, 0.000)
Li (0.000, 0.000, 0.392)
Li (0.000, 0.000, 0.608)
Li (0.333, 0.667, 0.058)
Li (0.333, 0.667, 0.275)
Li (0.333, 0.667, 0.667)
Li (0.667, 0.333, 0.333)
Li (0.667, 0.333, 0.725)
Li (0.667, 0.333, 0.942)

Which structure is most stable? ii, by 95 meV/atom over the runner-up.

i:
Entry from the Alexandria database: a relaxed NaLi2 crystal (PBE).

## Properties
Its crystal system is cubic. For the density of states at the Fermi level, the calculation gives 3.20 states/eV per cell. Its space group is Fd-3m, No. 227. As for the size of the total moment: 0.00 μB per formula unit. The calculation puts the theoretical density at 0.78 g/cm³.

Cell: 6.060 6.060 6.060 Å, 60.00 60.00 60.00°
Atoms (fractional coordinates):
Na (0.125, 0.125, 0.125)
Na (0.875, 0.875, 0.875)
Li (0.000, 0.500, 0.500)
Li (0.500, 0.000, 0.500)
Li (0.500, 0.500, 0.000)
Li (0.500, 0.500, 0.500)

ii:
Entry from the Alexandria database: a relaxed NaLi2 crystal (PBE).

## Properties
Its crystal system is tetragonal. For the density of states at the Fermi level, the calculation gives 2.22 states/eV per cell. Its space group is I4/mmm, No. 139. As for the size of the total moment: 0.00 μB per formula unit. The calculation puts the theoretical density at 0.80 g/cm³.

Cell: 3.521 3.521 12.334 Å, 90.00 90.00 90.00°
Atoms (fractional coordinates):
Na (0.000, 0.000, 0.000)
Na (0.500, 0.500, 0.500)
Li (0.000, 0.000, 0.317)
Li (0.000, 0.000, 0.683)
Li (0.500, 0.500, 0.183)
Li (0.500, 0.500, 0.817)

Which structure is most stable? ii, by 6 meV/atom over the runner-up.

i:
Entry from the Alexandria database: a relaxed NaLi2 crystal (PBE).

## Properties
Its crystal system is monoclinic. For the density of states at the Fermi level, the calculation gives 5.92 states/eV per cell. Its space group is C2/m, No. 12. As for the size of the total moment: 0.00 μB per formula unit. The calculation puts the theoretical density at 0.80 g/cm³.

Cell: 11.083 3.484 8.528 Å, 90.00 111.59 90.00°
Atoms (fractional coordinates):
Na (0.162, 0.000, 0.105)
Na (0.338, 0.500, 0.895)
Na (0.662, 0.500, 0.105)
Na (0.838, 0.000, 0.895)
Li (0.010, 0.500, 0.712)
Li (0.164, 0.000, 0.559)
Li (0.336, 0.500, 0.441)
Li (0.490, 0.000, 0.288)
Li (0.510, 0.000, 0.712)
Li (0.664, 0.500, 0.559)
Li (0.836, 0.000, 0.441)
Li (0.990, 0.500, 0.288)

ii:
Entry from the Alexandria database: a relaxed NaLi2 crystal (PBE).

## Properties
Its crystal system is orthorhombic. For the density of states at the Fermi level, the calculation gives 5.22 states/eV per cell. Its space group is Cmcm, No. 63. As for the size of the total moment: 0.00 μB per formula unit. The calculation puts the theoretical density at 0.80 g/cm³.

Cell: 3.265 17.454 5.370 Å, 90.00 90.00 90.00°
Atoms (fractional coordinates):
Na (0.000, 0.060, 0.250)
Na (0.000, 0.940, 0.750)
Na (0.500, 0.440, 0.750)
Na (0.500, 0.560, 0.250)
Li (0.000, 0.273, 0.750)
Li (0.000, 0.372, 0.250)
Li (0.000, 0.628, 0.750)
Li (0.000, 0.727, 0.250)
Li (0.500, 0.128, 0.750)
Li (0.500, 0.227, 0.250)
Li (0.500, 0.773, 0.750)
Li (0.500, 0.872, 0.250)

Which structure is most stable? i, by 5 meV/atom over the runner-up.

i:
Entry from the Alexandria database: a relaxed Na2Li13 crystal (PBE).

## Properties
Its crystal system is trigonal. For the density of states at the Fermi level, the calculation gives 8.00 states/eV per cell. Its space group is R-3m, No. 166. As for the size of the total moment: 0.00 μB per formula unit. The calculation puts the theoretical density at 0.65 g/cm³.

Cell: 8.189 8.189 8.189 Å, 55.69 55.69 55.69°
Atoms (fractional coordinates):
Na (0.164, 0.164, 0.164)
Na (0.836, 0.836, 0.836)
Li (0.000, 0.000, 0.000)
Li (0.168, 0.168, 0.551)
Li (0.168, 0.551, 0.168)
Li (0.312, 0.312, 0.686)
Li (0.312, 0.686, 0.312)
Li (0.314, 0.688, 0.688)
Li (0.449, 0.832, 0.832)
Li (0.551, 0.168, 0.168)
Li (0.686, 0.312, 0.312)
Li (0.688, 0.314, 0.688)
Li (0.688, 0.688, 0.314)
Li (0.832, 0.449, 0.832)
Li (0.832, 0.832, 0.449)

ii:
Entry from the Alexandria database: a relaxed Na2Li13 crystal (PBE).

## Properties
Its crystal system is trigonal. For the density of states at the Fermi level, the calculation gives 9.33 states/eV per cell. Its space group is R-3m, No. 166. As for the size of the total moment: 0.00 μB per formula unit. The calculation puts the theoretical density at 0.53 g/cm³.

Cell: 8.789 8.789 8.789 Å, 55.56 55.56 55.56°
Atoms (fractional coordinates):
Na (0.241, 0.241, 0.241)
Na (0.759, 0.759, 0.759)
Li (0.000, 0.000, 0.000)
Li (0.013, 0.013, 0.655)
Li (0.013, 0.655, 0.013)
Li (0.234, 0.234, 0.621)
Li (0.234, 0.621, 0.234)
Li (0.345, 0.987, 0.987)
Li (0.379, 0.766, 0.766)
Li (0.621, 0.234, 0.234)
Li (0.655, 0.013, 0.013)
Li (0.766, 0.379, 0.766)
Li (0.766, 0.766, 0.379)
Li (0.987, 0.345, 0.987)
Li (0.987, 0.987, 0.345)

Which structure is most stable? i, by 115 meV/atom over the runner-up.

i:
Entry from the Alexandria database: a relaxed NaLi7 crystal (PBE).

## Properties
Its crystal system is tetragonal. For the density of states at the Fermi level, the calculation gives 5.26 states/eV per cell. Its space group is I4/mmm, No. 139. As for the size of the total moment: 0.00 μB per formula unit. The calculation puts the theoretical density at 0.67 g/cm³.

Cell: 4.544 4.544 17.138 Å, 90.00 90.00 90.00°
Atoms (fractional coordinates):
Na (0.000, 0.000, 0.000)
Na (0.500, 0.500, 0.500)
Li (0.000, 0.000, 0.252)
Li (0.000, 0.000, 0.500)
Li (0.000, 0.000, 0.748)
Li (0.000, 0.500, 0.134)
Li (0.000, 0.500, 0.366)
Li (0.000, 0.500, 0.634)
Li (0.000, 0.500, 0.866)
Li (0.500, 0.000, 0.134)
Li (0.500, 0.000, 0.366)
Li (0.500, 0.000, 0.634)
Li (0.500, 0.000, 0.866)
Li (0.500, 0.500, 0.000)
Li (0.500, 0.500, 0.248)
Li (0.500, 0.500, 0.752)

ii:
Entry from the Alexandria database: a relaxed NaLi7 crystal (PBE).

## Properties
Its crystal system is cubic. For the density of states at the Fermi level, the calculation gives 4.68 states/eV per cell. Its space group is Fm-3m, No. 225. As for the size of the total moment: 0.00 μB per formula unit. The calculation puts the theoretical density at 0.67 g/cm³.

Cell: 6.305 6.305 6.305 Å, 60.00 60.00 60.00°
Atoms (fractional coordinates):
Na (0.000, 0.000, 0.000)
Li (0.000, 0.000, 0.500)
Li (0.000, 0.500, 0.000)
Li (0.000, 0.500, 0.500)
Li (0.500, 0.000, 0.000)
Li (0.500, 0.000, 0.500)
Li (0.500, 0.500, 0.000)
Li (0.500, 0.500, 0.500)

Which structure is most stable? i, by 13 meV/atom over the runner-up.